(1)
# PmPrSm2Ho5 (PBE-GGA, optimized geometry)
# total magnetization	0.00	μB/atom
# formation energy from the elements	0.26	eV/atom
data_PmPrSm2Ho5
_space_group_name_H-M_alt 'I 4/m c m'
_space_group_IT_number 140
_space_group_name_Hall '-I 4 2c'
_cell_length_a 8.755
_cell_length_b 8.755
_cell_length_c 15.403
_cell_angle_alpha 90.00
_cell_angle_beta 90.00
_cell_angle_gamma 90.00
loop_
_atom_site_label
_atom_site_type_symbol
_atom_site_fract_x
_atom_site_fract_y
_atom_site_fract_z
Pm1 Pm 0.000 0.500 0.250
Pr1 Pr 0.000 0.000 0.250
Sm1 Sm 0.116 0.384 0.000
Ho1 Ho 0.000 0.000 0.000
Ho2 Ho 0.207 0.293 0.364

(2)
# PmPrSmHo (PBE-GGA, optimized geometry)
# total magnetization	0.00	μB/atom
# formation energy from the elements	0.13	eV/atom
data_PmPrSmHo
_space_group_name_H-M_alt 'F -4 3 m'
_space_group_IT_number 216
_space_group_name_Hall 'F -4 2 3'
_cell_length_a 8.160
_cell_length_b 8.160
_cell_length_c 8.160
_cell_angle_alpha 90.00
_cell_angle_beta 90.00
_cell_angle_gamma 90.00
loop_
_atom_site_label
_atom_site_type_symbol
_atom_site_fract_x
_atom_site_fract_y
_atom_site_fract_z
Pm1 Pm 0.000 0.000 0.000
Pr1 Pr 0.000 0.000 0.500
Sm1 Sm 0.250 0.250 0.750
Ho1 Ho 0.250 0.250 0.250

(3)
# PmPr2SmHo4 (PBE-GGA, optimized geometry)
# total magnetization	0.00	μB/atom
# formation energy from the elements	0.00	eV/atom
data_PmPr2SmHo4
_space_group_name_H-M_alt 'P 1 2/m 1'
_space_group_IT_number 10
_cell_length_a 6.262
_cell_length_b 3.615
_cell_length_c 11.602
_cell_angle_alpha 90.00
_cell_angle_beta 90.02
_cell_angle_gamma 90.00
loop_
_space_group_symop_operation_xyz
'x,y,z'
'-x,-y,-z'
'-x,y,-z'
'x,-y,z'
loop_
_atom_site_label
_atom_site_type_symbol
_atom_site_fract_x
_atom_site_fract_y
_atom_site_fract_z
Pm1 Pm 0.000 0.000 0.000
Pr1 Pr 0.000 0.000 0.500
Pr2 Pr 0.500 0.500 0.000
Sm1 Sm 0.500 0.500 0.500
Ho1 Ho 0.166 0.500 0.250
Ho2 Ho 0.334 0.000 0.750

(4)
# Pm6PrSm2Ho3 (PBE-GGA, optimized geometry)
# total magnetization	0.00	μB/atom
# formation energy from the elements	0.02	eV/atom
data_Pm6PrSm2Ho3
_space_group_name_H-M_alt 'C 1 2/m 1'
_space_group_IT_number 12
_cell_length_a 6.279
_cell_length_b 10.875
_cell_length_c 11.970
_cell_angle_alpha 90.00
_cell_angle_beta 100.06
_cell_angle_gamma 90.00
loop_
_space_group_symop_operation_xyz
'x,y,z'
'-x,-y,-z'
'-x,y,-z'
'x,-y,z'
'x+1/2,y+1/2,z'
'-x+1/2,-y+1/2,-z'
'-x+1/2,y+1/2,-z'
'x+1/2,-y+1/2,z'
loop_
_atom_site_label
_atom_site_type_symbol
_atom_site_fract_x
_atom_site_fract_y
_atom_site_fract_z
Pm1 Pm 0.248 0.167 0.246
Pm2 Pm 0.249 0.500 0.246
Pr1 Pr 0.000 0.500 0.500
Sm1 Sm 0.000 0.167 0.500
Ho1 Ho 0.000 0.000 0.000
Ho2 Ho 0.000 0.333 0.000

(5)
# PmPr4Sm2Ho (PBE-GGA, optimized geometry)
# total magnetization	0.00	μB/atom
# formation energy from the elements	0.01	eV/atom
data_PmPr4Sm2Ho
_space_group_name_H-M_alt 'P 1 2/m 1'
_space_group_IT_number 10
_cell_length_a 5.179
_cell_length_b 5.204
_cell_length_c 10.294
_cell_angle_alpha 90.00
_cell_angle_beta 90.07
_cell_angle_gamma 90.00
loop_
_space_group_symop_operation_xyz
'x,y,z'
'-x,-y,-z'
'-x,y,-z'
'x,-y,z'
loop_
_atom_site_label
_atom_site_type_symbol
_atom_site_fract_x
_atom_site_fract_y
_atom_site_fract_z
Pm1 Pm 0.000 0.000 0.000
Pr1 Pr 0.000 0.500 0.252
Pr2 Pr 0.500 0.000 0.252
Sm1 Sm 0.000 0.000 0.500
Sm2 Sm 0.500 0.500 0.000
Ho1 Ho 0.500 0.500 0.500

(6)
# Pm2Pr2SmHo2 (PBE-GGA, optimized geometry)
# total magnetization	0.00	μB/atom
# formation energy from the elements	0.02	eV/atom
data_Pm2Pr2SmHo2
_space_group_name_H-M_alt 'C 1 2/m 1'
_space_group_IT_number 12
_cell_length_a 11.452
_cell_length_b 5.130
_cell_length_c 8.140
_cell_angle_alpha 90.00
_cell_angle_beta 98.09
_cell_angle_gamma 90.00
loop_
_space_group_symop_operation_xyz
'x,y,z'
'-x,-y,-z'
'-x,y,-z'
'x,-y,z'
'x+1/2,y+1/2,z'
'-x+1/2,-y+1/2,-z'
'-x+1/2,y+1/2,-z'
'x+1/2,-y+1/2,z'
loop_
_atom_site_label
_atom_site_type_symbol
_atom_site_fract_x
_atom_site_fract_y
_atom_site_fract_z
Pm1 Pm 0.215 0.000 0.141
Pr1 Pr 0.142 0.500 0.427
Sm1 Sm 0.000 0.500 0.000
Ho1 Ho 0.071 0.000 0.715

(7)
# Pm3Pr6SmHo2 (PBE-GGA, optimized geometry)
# total magnetization	0.00	μB/atom
# formation energy from the elements	0.01	eV/atom
data_Pm3Pr6SmHo2
_space_group_name_H-M_alt 'C 1 2/m 1'
_space_group_IT_number 12
_cell_length_a 6.356
_cell_length_b 11.012
_cell_length_c 12.061
_cell_angle_alpha 90.00
_cell_angle_beta 100.12
_cell_angle_gamma 90.00
loop_
_space_group_symop_operation_xyz
'x,y,z'
'-x,-y,-z'
'-x,y,-z'
'x,-y,z'
'x+1/2,y+1/2,z'
'-x+1/2,-y+1/2,-z'
'-x+1/2,y+1/2,-z'
'x+1/2,-y+1/2,z'
loop_
_atom_site_label
_atom_site_type_symbol
_atom_site_fract_x
_atom_site_fract_y
_atom_site_fract_z
Pm1 Pm 0.000 0.000 0.000
Pm2 Pm 0.000 0.333 0.000
Pr1 Pr 0.249 0.000 0.747
Pr2 Pr 0.250 0.167 0.253
Sm1 Sm 0.000 0.500 0.500
Ho1 Ho 0.000 0.167 0.500

(8)
# PmPrSm2Ho (PBE-GGA, optimized geometry)
# total magnetization	0.00	μB/atom
# formation energy from the elements	0.27	eV/atom
data_PmPrSm2Ho
_space_group_name_H-M_alt 'P 1 2/c 1'
_space_group_IT_number 13
_cell_length_a 8.436
_cell_length_b 6.589
_cell_length_c 6.290
_cell_angle_alpha 90.00
_cell_angle_beta 93.98
_cell_angle_gamma 90.00
loop_
_space_group_symop_operation_xyz
'x,y,z'
'-x,-y,-z'
'-x,y,-z+1/2'
'x,-y,z+1/2'
loop_
_atom_site_label
_atom_site_type_symbol
_atom_site_fract_x
_atom_site_fract_y
_atom_site_fract_z
Pm1 Pm 0.000 0.066 0.250
Pr1 Pr 0.000 0.500 0.000
Sm1 Sm 0.311 0.191 0.728
Ho1 Ho 0.500 0.334 0.250

no.,D(E_F) (states/eV/cell)
1,39.2
2,35.0
3,10.3
4,31.9
5,11.3
6,19.9
7,31.9
8,13.2